Material: HoTm12Sc5
Method: DFT, GGA-PBE
State: relaxed

## Properties
Fermi-level density of states	26.68	states/eV/cell
E_form	3.21	kJ per mole of atoms
total DFT energy (no corrections)	-4.961	eV per atom
total magnetization	0.00	Bohr magnetons per cell
symmetry	C2/m (12)

Unit cell a=5.9718 b=5.9718 c=16.7172 alpha=93.43 beta=93.43 gamma=119.97
Sites, in units of the cell vectors:
Ho  0.0000  0.0000  0.0000
Tm  0.0548  0.7197  0.1668
Tm  0.1122  0.4455  0.3383
Tm  0.2212  0.2212  0.6617
Tm  0.2803  0.9452  0.8332
Tm  0.3900  0.3900  0.1668
Tm  0.4455  0.1122  0.3383
Tm  0.5545  0.8878  0.6617
Tm  0.6100  0.6100  0.8332
Tm  0.7197  0.0548  0.1668
Tm  0.7788  0.7788  0.3383
Tm  0.8878  0.5545  0.6617
Tm  0.9452  0.2803  0.8332
Sc  0.1667  0.8333  0.5000
Sc  0.3334  0.6666  0.0000
Sc  0.5000  0.5000  0.5000
Sc  0.6666  0.3334  0.0000
Sc  0.8333  0.1667  0.5000